Li2MgAu after structural relaxation. Source: Alexandria, functional PBE-GGA.

**Total moment**: 0.00 μB per atom
**E**: -2.4226 eV/atom
**DOS(E_F)**: 5.05 states/eV per cell

```
16
Lattice="3.9007 0.0000 0.0000 0.0000 3.9007 0.0000 0.0000 0.0000 19.6729" Properties=species:S:1:pos:R:3 pbc="T T T"
Li 0.8593 0.9752 2.4591
Li 0.9752 2.8096 7.3774
Li 0.9752 3.0414 17.2138
Li 1.0911 0.9752 12.2956
Li 2.8096 2.9255 12.2956
Li 2.9255 0.8593 17.2138
Li 2.9255 1.0911 7.3774
Li 3.0414 2.9255 2.4591
Mg 0.0000 0.0000 9.8365
Mg 0.0000 1.9503 14.7547
Mg 1.9503 0.0000 4.9182
Mg 1.9503 1.9503 0.0000
Au 0.0000 0.0000 0.0000
Au 0.0000 1.9503 4.9182
Au 1.9503 0.0000 14.7547
Au 1.9503 1.9503 9.8365
```